# PBE LiCCl2, relaxed
# - Crystal system: tetragonal
# - Offset from the most stable computed form: 0.00 kJ/mol of atoms
data_LiCCl2
_chemical_formula_sum 'Li4 C4 Cl8'
_cell_length_a 5.043
_cell_length_b 5.043
_cell_length_c 12.933
_cell_angle_alpha 90.00
_cell_angle_beta 90.00
_cell_angle_gamma 90.00
_symmetry_space_group_name_H-M 'I -4 2 d'
_symmetry_Int_Tables_number 122
_symmetry_space_group_name_Hall 'I -4 2bw'
loop_
_atom_site_label
_atom_site_fract_x
_atom_site_fract_y
_atom_site_fract_z
Li1 0.000 0.000 0.000
C1 0.000 0.000 0.500
Cl1 0.222 0.250 0.625

# PBE LiC2Cl, relaxed
# - Crystal system: tetragonal
# - Offset from the most stable computed form: 0.00 kJ/mol of atoms
data_LiC2Cl
_chemical_formula_sum 'Li4 C8 Cl4'
_cell_length_a 5.113
_cell_length_b 5.113
_cell_length_c 6.852
_cell_angle_alpha 90.00
_cell_angle_beta 90.00
_cell_angle_gamma 90.00
_symmetry_space_group_name_H-M 'I -4 2 d'
_symmetry_Int_Tables_number 122
_symmetry_space_group_name_Hall 'I -4 2bw'
loop_
_atom_site_label
_atom_site_fract_x
_atom_site_fract_y
_atom_site_fract_z
Li1 0.000 0.000 0.000
C1 0.192 0.250 0.625
Cl1 0.000 0.000 0.500

# PBE LiC3Cl, relaxed
# - Crystal system: cubic
# - Offset from the most stable computed form: 5.09 kJ/mol of atoms
data_LiC3Cl
_chemical_formula_sum 'Li1 C3 Cl1'
_cell_length_a 3.888
_cell_length_b 3.888
_cell_length_c 3.888
_cell_angle_alpha 90.00
_cell_angle_beta 90.00
_cell_angle_gamma 90.00
_symmetry_space_group_name_H-M 'P m -3 m'
_symmetry_Int_Tables_number 221
_symmetry_space_group_name_Hall '-P 4 2 3'
loop_
_atom_site_label
_atom_site_fract_x
_atom_site_fract_y
_atom_site_fract_z
Li1 0.000 0.000 0.000
C1 0.000 0.000 0.500
Cl1 0.500 0.500 0.500

# PBE LiCCl2, relaxed
# - Crystal system: trigonal
# - Offset from the most stable computed form: 3.38 kJ/mol of atoms
data_LiCCl2
_chemical_formula_sum 'Li3 C3 Cl6'
_cell_length_a 3.6699
_cell_length_b 3.6699
_cell_length_c 21.5067
_cell_angle_alpha 90.00
_cell_angle_beta 90.00
_cell_angle_gamma 120.00
_symmetry_space_group_name_H-M 'R -3 m'
_symmetry_Int_Tables_number 166
_symmetry_space_group_name_Hall '-R 3 2"'
loop_
_atom_site_label
_atom_site_fract_x
_atom_site_fract_y
_atom_site_fract_z
Li1 0.0000 0.0000 0.0000
C1 0.0000 0.0000 0.5000
Cl1 0.0000 0.0000 0.3994

# PBE LiCCl2, relaxed
# - Crystal system: cubic
# - Offset from the most stable computed form: 33.09 kJ/mol of atoms
data_LiCCl2
_chemical_formula_sum 'Li4 C4 Cl8'
_cell_length_a 6.426
_cell_length_b 6.426
_cell_length_c 6.426
_cell_angle_alpha 90.00
_cell_angle_beta 90.00
_cell_angle_gamma 90.00
_symmetry_space_group_name_H-M 'F m -3 m'
_symmetry_Int_Tables_number 225
_symmetry_space_group_name_Hall '-F 4 2 3'
loop_
_atom_site_label
_atom_site_fract_x
_atom_site_fract_y
_atom_site_fract_z
Li1 0.000 0.000 0.000
C1 0.000 0.000 0.500
Cl1 0.250 0.250 0.250

# PBE LiC3Cl, relaxed
# - Crystal system: cubic
# - Offset from the most stable computed form: 0.00 kJ/mol of atoms
data_LiC3Cl
_chemical_formula_sum 'Li1 C3 Cl1'
_cell_length_a 3.932
_cell_length_b 3.932
_cell_length_c 3.932
_cell_angle_alpha 90.00
_cell_angle_beta 90.00
_cell_angle_gamma 90.00
_symmetry_space_group_name_H-M 'P m -3 m'
_symmetry_Int_Tables_number 221
_symmetry_space_group_name_Hall '-P 4 2 3'
loop_
_atom_site_label
_atom_site_fract_x
_atom_site_fract_y
_atom_site_fract_z
Li1 0.000 0.000 0.000
C1 0.000 0.500 0.500
Cl1 0.500 0.500 0.500

# PBE LiCCl, relaxed
# - Crystal system: monoclinic
data_LiCCl
_chemical_formula_sum 'Li4 C4 Cl4'
_cell_length_a 6.630
_cell_length_b 4.718
_cell_length_c 7.293
_cell_angle_alpha 90.00
_cell_angle_beta 113.40
_cell_angle_gamma 90.00
_symmetry_space_group_name_H-M 'C 1 m 1'
_symmetry_Int_Tables_number 8
_symmetry_space_group_name_Hall 'C -2y'
loop_
_atom_site_label
_atom_site_fract_x
_atom_site_fract_y
_atom_site_fract_z
Li1 0.000 0.000 0.000
Li2 0.245 0.000 0.737
C1 0.122 0.366 0.869
Cl1 0.120 0.251 0.369

# PBE LiC2Cl, relaxed
# - Crystal system: cubic
# - Offset from the most stable computed form: 45.15 kJ/mol of atoms
data_LiC2Cl
_chemical_formula_sum 'Li4 C8 Cl4'
_cell_length_a 5.692
_cell_length_b 5.692
_cell_length_c 5.692
_cell_angle_alpha 90.00
_cell_angle_beta 90.00
_cell_angle_gamma 90.00
_symmetry_space_group_name_H-M 'F m -3 m'
_symmetry_Int_Tables_number 225
_symmetry_space_group_name_Hall '-F 4 2 3'
loop_
_atom_site_label
_atom_site_fract_x
_atom_site_fract_y
_atom_site_fract_z
Li1 0.000 0.000 0.000
C1 0.250 0.250 0.250
Cl1 0.000 0.000 0.500

Number 1: E -3.15 eV per atom, uncorrected formation energy 0.56 eV per atom, magnetization 1.00 μB per formula unit. Number 2: E -3.37 eV per atom, uncorrected formation energy 2.18 eV per atom, magnetization 0.00 μB per formula unit. Number 3: E -3.00 eV per atom, uncorrected formation energy 3.29 eV per atom, magnetization 0.00 μB per formula unit. Number 4: E -3.11 eV per atom, uncorrected formation energy 0.60 eV per atom, magnetization 1.00 μB per formula unit. Number 5: E -2.80 eV per atom, uncorrected formation energy 0.90 eV per atom, magnetization 1.00 μB per formula unit. Number 6: E -3.05 eV per atom, uncorrected formation energy 3.23 eV per atom, magnetization 0.00 μB per formula unit. Number 7: E -4.21 eV per atom, uncorrected formation energy 0.12 eV per atom, magnetization 0.22 μB per formula unit. Number 8: E -2.91 eV per atom, uncorrected formation energy 2.65 eV per atom, magnetization 0.00 μB per formula unit.